Material: ScInSi2
Method: DFT, GGA-PBE
State: relaxed

* formation energy without anion corrections: -0.167 eV per atom
* E above lowest polymorph: 0.0 meV/atom
* spin magnetization: 0.0000 μB/atom

Cell lengths 2.9950, 4.2066, 6.2313 Å; angles 90.00, 90.00, 90.00 degrees
Closest atoms and distances in Å follow each position.
Fractional positions:
Sc  0.0000  0.0000  0.0000  8 Si 2.85, 2 Sc 3.00
In  0.5000  0.0000  0.5000  4 Si 2.84, 2 In 3.00
Si  0.5000  0.5000  0.1934  1 Si 2.41
Si  0.5000  0.5000  0.8066  1 Si 2.41


Material: ScInSi2
Method: DFT, GGA-PBE
State: relaxed

* formation energy without anion corrections: -0.137 eV per atom
* E above lowest polymorph: 30.4 meV/atom
* spin magnetization: 0.0000 μB/atom

Cell lengths 5.1102, 5.1102, 4.7668 Å; angles 107.79, 107.79, 42.67 degrees
Closest atoms and distances in Å follow each position.
Fractional positions:
Sc  0.0000  0.0000  0.0000  6 Si 2.82-2.83, 4 In 3.02
In  0.5000  0.5000  0.5000  4 Sc 3.02, 8 Si 3.12-3.21
Si  0.2626  0.2626  0.8487  2 Si 2.41
Si  0.7374  0.7374  0.1513  2 Si 2.41


Material: ScInSi
Method: DFT, GGA-PBE
State: relaxed

* formation energy without anion corrections: 0.029 eV per atom
* E above lowest polymorph: 328.8 meV/atom
* spin magnetization: 0.0001 μB/atom

Cell lengths 3.2012, 3.2012, 7.1054 Å; angles 90.00, 90.00, 120.00 degrees
Closest atoms and distances in Å follow each position.
Fractional positions:
Sc  0.0000  0.0000  0.0000  3 Si 2.83, 3 In 3.16
In  0.3333  0.6667  0.6387  3 Si 3.02, 3 Sc 3.16, 6 In 3.20
Si  0.6667  0.3333  0.3022  3 Sc 2.83, 3 In 3.02


Material: ScIn3Si
Method: DFT, GGA-PBE
State: relaxed

* formation energy without anion corrections: 0.879 eV per atom
* E above lowest polymorph: 407.7 meV/atom
* spin magnetization: 0.0515 μB/atom

Cell lengths 5.5102, 5.5102, 5.5102 Å; angles 90.00, 90.00, 90.00 degrees
Closest atoms and distances in Å follow each position.
Fractional positions:
Sc  0.0000  0.0000  0.0000  6 In 2.76
In  0.0000  0.0000  0.5000  2 Sc 2.76
In  0.0000  0.5000  0.0000  2 Sc 2.76
In  0.5000  0.0000  0.0000  2 Sc 2.76
Si  0.5000  0.5000  0.5000  12 In 3.90


Material: ScIn2Si
Method: DFT, GGA-PBE
State: relaxed

* formation energy without anion corrections: 0.084 eV per atom
* E above lowest polymorph: 286.9 meV/atom
* spin magnetization: 0.0016 μB/atom

Cell lengths 9.3625, 9.3625, 9.3625 Å; angles 20.74, 20.74, 20.74 degrees
Closest atoms and distances in Å follow each position.
Fractional positions:
Sc  0.0000  0.0000  0.0000  6 In 3.12, 6 Sc 3.37
In  0.2446  0.2446  0.2446  3 Si 2.89, 3 Sc 3.12
In  0.7554  0.7554  0.7554  3 Si 2.89, 3 Sc 3.12
Si  0.5000  0.5000  0.5000  6 In 2.89


Material: Sc2InSi
Method: DFT, GGA-PBE
State: relaxed

* formation energy without anion corrections: -0.208 eV per atom
* spin magnetization: 0.0000 μB/atom

Cell lengths 3.6462, 4.0105, 5.8694 Å; angles 90.00, 90.00, 90.00 degrees
Closest atoms and distances in Å follow each position.
Fractional positions:
Sc  0.0000  0.0000  0.0000  2 Si 2.77-3.10, 4 In 3.03
Sc  0.5000  0.5000  0.2837  2 In 2.85-3.02, 4 Si 2.93, 4 Sc 3.18
In  0.5000  0.5000  0.7687  6 Sc 2.85-3.03
Si  0.0000  0.0000  0.4720  6 Sc 2.77-3.10


Material: ScIn2Si
Method: DFT, GGA-PBE
State: relaxed

* formation energy without anion corrections: 0.171 eV per atom
* E above lowest polymorph: 374.9 meV/atom
* spin magnetization: 0.0000 μB/atom

Cell lengths 5.0349, 5.0349, 5.0349 Å; angles 60.00, 60.00, 60.00 degrees
Closest atoms and distances in Å follow each position.
Fractional positions:
Sc  0.0000  0.0000  0.0000  8 In 3.08
In  0.2500  0.2500  0.2500  4 Si 3.08, 4 Sc 3.08
In  0.7500  0.7500  0.7500  4 Si 3.08, 4 Sc 3.08
Si  0.5000  0.5000  0.5000  8 In 3.08


Material: Sc2InSi
Method: DFT, GGA-PBE
State: relaxed

* formation energy without anion corrections: -0.494 eV per atom
* spin magnetization: 0.1345 μB/atom

Cell lengths 3.0938, 3.0938, 8.3432 Å; angles 90.00, 90.00, 90.00 degrees
Closest atoms and distances in Å follow each position.
Fractional positions:
Sc  0.0000  0.0000  0.2166  4 Si 2.84, 4 Sc 3.09
Sc  0.0000  0.0000  0.7834  4 Si 2.84, 4 Sc 3.09
In  0.5000  0.5000  0.5000  4 In 3.09, 8 Sc 3.22
Si  0.5000  0.5000  0.0000  8 Sc 2.84, 4 Si 3.09


Material: ScIn4Si
Method: DFT, GGA-PBE
State: relaxed

* formation energy without anion corrections: 0.272 eV per atom
* spin magnetization: 0.0000 μB/atom

Cell lengths 5.9104, 5.9104, 5.9104 Å; angles 60.00, 60.00, 60.00 degrees
Closest atoms and distances in Å follow each position.
Fractional positions:
Sc  0.0000  0.0000  0.0000  12 In 3.47, 4 Si 3.62
In  0.3753  0.3753  0.3753  6 In 2.95-2.96
In  0.3753  0.3753  0.8740  6 In 2.95-2.96
In  0.3753  0.8740  0.3753  6 In 2.95-2.96
In  0.8740  0.3753  0.3753  6 In 2.95-2.96
Si  0.7500  0.7500  0.7500  12 In 3.46, 4 Sc 3.62


Material: ScInSi2
Method: DFT, GGA-PBE
State: relaxed

* formation energy without anion corrections: 0.100 eV per atom
* E above lowest polymorph: 267.4 meV/atom
* spin magnetization: 0.0000 μB/atom

Cell lengths 6.0318, 6.0318, 6.0318 Å; angles 103.99, 103.99, 121.10 degrees
Closest atoms and distances in Å follow each position.
Fractional positions:
Sc  0.0000  0.0000  0.0000  4 Si 2.80, 2 In 2.97
Sc  0.7500  0.2500  0.5000  4 Si 2.80, 2 In 2.97
In  0.2500  0.7500  0.5000  4 Si 2.66, 2 Sc 2.97
In  0.5000  0.5000  0.0000  4 Si 2.66, 2 Sc 2.97
Si  0.1386  0.6250  0.0136  2 In 2.66, 2 Sc 2.80, 2 Si 2.97
Si  0.3750  0.3886  0.5136  2 In 2.66, 2 Sc 2.80, 2 Si 2.97
Si  0.6114  0.1250  0.9864  2 In 2.66, 2 Sc 2.80, 2 Si 2.97
Si  0.8750  0.8614  0.4864  2 In 2.66, 2 Sc 2.80, 2 Si 2.97


Material: ScInSi2
Method: DFT, GGA-PBE
State: relaxed

* formation energy without anion corrections: -0.158 eV per atom
* E above lowest polymorph: 9.2 meV/atom
* spin magnetization: 0.0000 μB/atom

Cell lengths 5.3382, 5.3382, 4.3345 Å; angles 106.82, 106.82, 39.87 degrees
Closest atoms and distances in Å follow each position.
Fractional positions:
Sc  0.0000  0.0000  0.0000  7 Si 2.80-3.04, 2 In 2.98-3.04
In  0.7811  0.7811  0.3348  5 Si 2.75-2.89, 2 Sc 2.98-3.04
Si  0.2451  0.2451  0.8217  2 Si 2.66, 1 Sc 2.80, 4 In 2.81-2.89
Si  0.5509  0.5509  0.5519  2 Si 2.66, 1 In 2.75, 4 Sc 2.82-2.92


Material: Sc2InSi
Method: DFT, GGA-PBE
State: relaxed

* formation energy without anion corrections: -0.454 eV per atom
* spin magnetization: 0.0034 μB/atom

Cell lengths 3.1311, 3.7926, 6.7776 Å; angles 90.00, 90.11, 90.00 degrees
Closest atoms and distances in Å follow each position.
Fractional positions:
Sc  0.0011  0.0000  0.2783  4 Si 2.88-2.89, 3 Sc 3.01-3.13, 4 In 3.10
Sc  0.9989  0.0000  0.7217  4 Si 2.88-2.89, 3 Sc 3.01-3.13, 4 In 3.10
In  0.5000  0.5000  0.0000  8 Sc 3.10, 2 In 3.13, 2 Si 3.39
Si  0.5000  0.5000  0.5000  8 Sc 2.88-2.89, 2 Si 3.13